# Ca2PmSm4

Crystalline Ca2PmSm4 at its relaxed geometry (PBE, Alexandria via LeMat-Bulk).

Computed properties:
E_form: 0.594 eV/atom
SG: I4/mmm
energy above the most stable polymorph in this dataset: 464 meV per atom

abc: 5.7051 5.7051 9.8164
angles: 106.89 106.89 90.00
Fractional positions:
1 Sm 0.1726 0.1726 0.3451
2 Sm 0.0000 0.5000 0.0000
3 Sm 0.8274 0.8274 0.6549
4 Sm 0.5000 0.0000 0.0000
5 Pm 0.0000 0.0000 0.0000
6 Ca 0.6276 0.6276 0.2551
7 Ca 0.3724 0.3724 0.7449